Entry from the Alexandria database: a relaxed UZnSnAu crystal (PBE).

Calculated values
Crystal system: cubic
E, eV/atom: -5.0318
M_tot, Bohr magnetons per cell: 2.66
V, Å³ per cell: 86
Energy of formation, eV/f.u.: -0.3

Unit cell a=4.9530 b=4.9530 c=4.9530 alpha=60.00 beta=60.00 gamma=60.00
Positions (direct):
U (0.7500, 0.7500, 0.7500)
Au (0.5000, 0.5000, 0.5000)
Sn (0.2500, 0.2500, 0.2500)
Zn (0.0000, 0.0000, 0.0000)